DFT (PBE) results for a relaxed structure of Sb2MoS.

The calculation puts the total energy at -6.1522 eV per atom. As for the spin magnetization: 0.0 μB/f.u.

The structure belongs to space group C2/m (No. 12); the cell edges are 36.966, 6.431 and 6.609 Å and the angles 90.00°, 95.11° and 90.00°. Symmetry generates all atoms from Sb at (0.010, 0.000, 0.293), Sb at (0.010, 0.500, 0.293), Sb at (0.086, 0.000, 0.422), Sb at (0.086, 0.500, 0.422), Sb at (0.163, 0.250, 0.577), Sb at (0.240, 0.231, 0.707), Mo at (0.122, 0.000, 0.828), Mo at (0.122, 0.500, 0.829), Mo at (0.128, 0.250, 0.171), S at (0.078, 0.250, 0.912), S at (0.172, 0.000, 0.088) and S at (0.172, 0.500, 0.088).